# Ac2TbMg

A relaxed Ac2TbMg crystal (GGA-PBE, Alexandria via LeMat-Bulk).

```
4
Lattice="3.9942 0.0000 0.0000 0.0000 3.9942 0.0000 0.0000 0.0000 9.2515" Properties=species:S:1:pos:R:3 pbc="T T T"
Ac 0.0000 0.0000 2.1458
Ac 0.0000 0.0000 7.1056
Tb 1.9971 1.9971 4.6257
Mg 1.9971 1.9971 0.0000
```

Properties
- Total magnetization: 0.00 μB per atom
- E_form: -0.002 eV per atom
- VASP energy: -3.613 eV/atom
- Density of states at the Fermi level: 4.77 states/eV/f.u.